No. 1
Be3Zn4Si3SO12 | GGA-PBEsol | optimized geometry

Calculated values
Energy relative to the elements, uncorrected (meV/atom): -2311
Magnetization (μB per formula unit): 0.001
Total energy (eV/atom): -6.787
ρ (g/cm³): 3.7
SG: P-43n, No. 218

The structure in POSCAR format:
```
Be3Zn4Si3SO12
1.0
-2.0290 -7.1534 -3.2439
7.7800 -1.3697 -1.8458
1.0799 -3.5726 7.2029
O Be Zn S Si
24 6 8 2 6
direct
0.3630 0.6377 0.0953 O
0.0953 0.6370 0.3623 O
0.3623 0.9047 0.3630 O
0.8630 0.4047 0.8623 O
0.3630 0.3623 0.9047 O
0.5953 0.8623 0.1370 O
0.4047 0.1377 0.1370 O
0.6370 0.6377 0.9047 O
0.8630 0.5953 0.1377 O
0.8623 0.8630 0.4047 O
0.5953 0.1377 0.8630 O
0.8623 0.1370 0.5953 O
0.6370 0.3623 0.0953 O
0.6377 0.9047 0.6370 O
0.1370 0.5953 0.8623 O
0.1377 0.8630 0.5953 O
0.1370 0.4047 0.1377 O
0.3623 0.0953 0.6370 O
0.9047 0.3630 0.3623 O
0.9047 0.6370 0.6377 O
0.4047 0.8623 0.8630 O
0.1377 0.1370 0.4047 O
0.6377 0.0953 0.3630 O
0.0953 0.3630 0.6377 O
0.2500 0.0000 0.5000 Be
0.0000 0.5000 0.2500 Be
0.5000 0.7500 0.0000 Be
0.0000 0.5000 0.7500 Be
0.7500 0.0000 0.5000 Be
0.5000 0.2500 0.0000 Be
0.8352 0.8352 0.1648 Zn
0.8352 0.1648 0.8352 Zn
0.1648 0.8352 0.8352 Zn
0.1648 0.1648 0.1648 Zn
0.6648 0.3352 0.3352 Zn
0.3352 0.6648 0.3352 Zn
0.3352 0.3352 0.6648 Zn
0.6648 0.6648 0.6648 Zn
0.0000 0.0000 0.0000 S
0.5000 0.5000 0.5000 S
0.0000 0.2500 0.5000 Si
0.5000 0.0000 0.7500 Si
0.0000 0.7500 0.5000 Si
0.2500 0.5000 0.0000 Si
0.5000 0.0000 0.2500 Si
0.7500 0.5000 0.0000 Si
```

---

No. 2
TaBeS2O | GGA-PBEsol | optimized geometry

Calculated values
Energy relative to the elements, uncorrected (meV/atom): -605
Magnetization (μB per formula unit): 0.000
Total energy (eV/atom): -6.718
ρ (g/cm³): 5.1
SG: P4/mmm, No. 123

The structure in POSCAR format:
```
TaBeS2O
1.0
3.7948 0.0000 0.0000
0.0000 4.8099 0.0000
0.0000 0.0000 4.8099
S Ta O Be
2 1 1 1
direct
0.0000 0.0000 0.5000 S
0.0000 0.5000 0.0000 S
0.0000 0.0000 0.0000 Ta
0.5000 0.0000 0.0000 O
0.5000 0.5000 0.5000 Be
```

---

No. 3
Be2SbO | GGA-PBEsol | optimized geometry

Calculated values
Energy relative to the elements, uncorrected (meV/atom): -842
Magnetization (μB per formula unit): 0.000
Total energy (eV/atom): -5.294
ρ (g/cm³): 5.1
SG: I-42d, No. 122

The structure in POSCAR format:
```
Be2SbO
1.0
4.6480 0.0000 0.0000
0.0000 4.6480 0.0000
-2.3240 -2.3240 4.7054
Sb Be O
2 4 2
direct
0.0000 0.0000 0.0000 Sb
0.2500 0.7500 0.5000 Sb
0.6250 0.4565 0.7500 Be
0.1250 0.2935 0.7500 Be
0.5435 0.8750 0.2500 Be
0.7065 0.3750 0.2500 Be
0.5000 0.5000 0.0000 O
0.7500 0.2500 0.5000 O
```

---

No. 4
BeSb2O | GGA-PBEsol | optimized geometry

Calculated values
Energy relative to the elements, uncorrected (meV/atom): -80
Magnetization (μB per formula unit): 0.000
Total energy (eV/atom): -4.671
ρ (g/cm³): 5.8
SG: I-42d, No. 122

The structure in POSCAR format:
```
BeSb2O
1.0
5.1118 0.0000 0.0000
0.0000 5.1118 0.0000
-2.5559 -2.5559 5.9333
Sb O Be
4 2 2
direct
0.3523 0.8750 0.2500 Sb
0.1250 0.1023 0.7500 Sb
0.8977 0.3750 0.2500 Sb
0.6250 0.6477 0.7500 Sb
0.2500 0.7500 0.5000 O
0.0000 0.0000 0.0000 O
0.7500 0.2500 0.5000 Be
0.5000 0.5000 0.0000 Be
```

---

No. 5
BeSbTe2O | GGA-PBEsol | optimized geometry

Calculated values
Energy relative to the elements, uncorrected (meV/atom): 736
Magnetization (μB per formula unit): 0.800
Total energy (eV/atom): -3.436
ρ (g/cm³): 6.1
SG: P4/mmm, No. 123

The structure in POSCAR format:
```
BeSbTe2O
1.0
4.7594 0.0000 0.0000
0.0000 4.7594 0.0000
0.0000 0.0000 4.8186
Sb Te Be O
1 2 1 1
direct
0.0000 0.0000 0.5000 Sb
0.0000 0.5000 0.0000 Te
0.5000 0.0000 0.0000 Te
0.0000 0.0000 0.0000 Be
0.5000 0.5000 0.5000 O
```

---

No. 6
Sc2BeO | GGA-PBEsol | optimized geometry

Calculated values
Energy relative to the elements, uncorrected (meV/atom): -891
Magnetization (μB per formula unit): 0.000
Total energy (eV/atom): -6.506
ρ (g/cm³): 2.5
Relative energy among the computed polymorphs (kcal/mol of atoms): 0.00
SG: R-3m, No. 166

The structure in POSCAR format:
```
Sc2BeO
1.0
-0.6703 1.5955 3.1059
-3.0573 1.7517 0.4754
-4.2596 -4.7975 3.5802
Sc O Be
2 1 1
direct
0.0882 0.0882 0.7354 Sc
0.9118 0.9118 0.2646 Sc
0.0000 0.0000 0.0000 O
0.5000 0.5000 0.5000 Be
```

---

No. 7
Sc2BeO | GGA-PBEsol | optimized geometry

Calculated values
Energy relative to the elements, uncorrected (meV/atom): -419
Magnetization (μB per formula unit): 0.000
Total energy (eV/atom): -6.034
ρ (g/cm³): 3.5
Relative energy among the computed polymorphs (kcal/mol of atoms): 10.88
SG: Fm-3m, No. 225

The structure in POSCAR format:
```
Sc2BeO
1.0
-2.5200 3.4542 -0.0195
-3.9594 -0.2513 -1.5944
-3.3753 0.1987 2.6173
O Be Sc
1 1 2
direct
0.5000 0.5000 0.5000 O
0.0000 0.0000 0.0000 Be
0.7500 0.7500 0.7500 Sc
0.2500 0.2500 0.2500 Sc
```

---

No. 8
BeSeO2 | GGA-PBEsol | optimized geometry

Calculated values
Energy relative to the elements, uncorrected (meV/atom): 224
Magnetization (μB per formula unit): 0.000
Total energy (eV/atom): -4.363
ρ (g/cm³): 5.1
Relative energy among the computed polymorphs (kcal/mol of atoms): 34.23
SG: Fm-3m, No. 225

The structure in POSCAR format:
```
BeSeO2
1.0
3.8160 0.0000 0.0000
1.9080 3.3047 0.0000
1.9080 1.1016 3.1157
O Se Be
2 1 1
direct
0.7500 0.7500 0.7500 O
0.2500 0.2500 0.2500 O
0.5000 0.5000 0.5000 Se
0.0000 0.0000 0.0000 Be
```